(a)
Material: Sb2RuBr
Method: DFT, PBE
State: optimized geometry

POSCAR file:
```
Sb2RuBr
1.0
-0.952 -1.898 -2.539
1.217 -2.667 1.537
-7.273 -1.221 3.642
Ru Br Sb
1 1 2
Cartesian
-5.322 -3.198 2.230
-1.686 -2.588 0.410
-4.005 -0.672 2.005
-6.904 -1.159 3.457
```

Summary:
The mass density is 7.824 g/cm3. The space group is No. 123.

(b)
Material: Sb2RuBr
Method: DFT, PBE
State: optimized geometry

POSCAR file:
```
Sb2RuBr
1.0
5.149 -0.012 0.000
0.927 5.065 0.000
-3.038 -2.527 3.301
Ru Sb Br
1 2 1
Cartesian
2.574 -0.006 1.651
3.038 2.527 0.000
0.000 0.000 0.000
0.464 2.532 1.651
```

Summary:
The mass density is 8.185 g/cm3. The space group is No. 139.

(c)
Material: Sb2RuBr
Method: DFT, PBE
State: optimized geometry

POSCAR file:
```
Sb2RuBr
1.0
7.576 -0.029 -0.070
-3.947 4.197 0.028
-0.317 1.244 2.970
Sb Br Ru
2 1 1
Cartesian
0.000 0.000 0.000
3.630 0.607 1.450
-2.132 2.721 1.499
1.815 2.084 -0.021
```

Summary:
The mass density is 7.492 g/cm3. The space group is No. 12.

(d)
Material: Sb2RuBr
Method: DFT, PBE
State: optimized geometry

POSCAR file:
```
Sb2RuBr
1.0
6.714 0.002 -0.001
4.241 5.205 0.001
-5.004 -3.601 2.660
Br Sb Ru
1 2 1
Cartesian
2.358 2.104 1.331
6.207 2.950 0.000
10.226 4.860 0.000
3.594 -0.498 1.329
```

Summary:
The mass density is 7.584 g/cm3. The space group is No. 71.

Going by the energies, (a) is most stable and the next is 0.292 eV/atom up.

(a)
Material: Sb2RuBr
Method: DFT, PBE
State: optimized geometry

POSCAR file:
```
Sb2RuBr
1.0
-0.331 -3.275 -3.706
0.149 -4.927 -0.519
-6.520 -2.523 -0.325
Br Sb Ru
1 2 1
Cartesian
-2.938 -5.788 -2.558
-5.527 -8.396 -3.520
-0.882 -7.942 -3.985
-0.889 -2.164 -0.988
```

Summary:
The mass density is 6.460 g/cm3. The space group is No. 8.

(b)
Material: Sb2RuBr
Method: DFT, PBE
State: optimized geometry

POSCAR file:
```
Sb2RuBr
1.0
3.196 -2.896 2.448
-1.681 -3.407 3.188
0.336 -4.820 -1.116
Sb Ru Br
2 1 1
Cartesian
1.388 -8.342 3.390
0.463 -2.781 1.130
0.926 -5.561 2.260
0.000 0.000 0.000
```

Summary:
The mass density is 8.172 g/cm3. The space group is No. 225.

(c)
Material: Sb2RuBr
Method: DFT, PBE
State: optimized geometry

POSCAR file:
```
Sb2RuBr
1.0
-3.269 -2.667 -0.537
-1.162 -2.503 -3.236
5.849 -4.520 4.293
Ru Br Sb
1 1 2
Cartesian
0.354 -2.422 0.130
1.063 -7.267 0.390
-0.237 -4.973 -0.486
-3.485 -5.042 -3.026
```

Summary:
The mass density is 6.442 g/cm3. The space group is No. 12.

Going by the energies, (c) is most stable and the next is 0.133 eV/atom up.

(a)
Material: Sb2RuBr
Method: DFT, PBE
State: optimized geometry

POSCAR file:
```
Sb2RuBr
1.0
-8.352 -0.301 -1.121
-7.011 -4.188 2.098
7.211 4.212 1.162
Ru Sb Br
1 2 1
Cartesian
-5.144 0.619 0.312
-14.238 -4.161 0.906
-3.598 -1.069 1.865
-8.215 -2.401 0.523
```

Summary:
The mass density is 6.607 g/cm3. The space group is No. 44.

(b)
Material: Sb2RuBr
Method: DFT, PBE
State: optimized geometry

POSCAR file:
```
Sb2RuBr
1.0
-0.178 6.827 -6.610
-3.214 7.408 -5.013
-0.278 8.747 -3.710
Br Sb Ru
1 2 1
Cartesian
-1.919 12.011 -8.013
-3.607 22.584 -15.066
-2.718 17.015 -11.352
-0.934 5.845 -3.900
```

Summary:
The mass density is 7.236 g/cm3. The space group is No. 160.

Going by the energies, (a) is most stable and the next is 0.135 eV/atom up.